[1]
Material: InPb2Se
Method: DFT, SCAN
State: PBEsol geometry

energy relative to the elements, uncorrected: -89 meV per atom
ΔE to the lowest computed polymorph: 0 meV per atom
density of states at the Fermi level: 0.470 states/eV/atom

Lattice parameters (Å, degrees): 3.8819 3.8819 8.9320 77.45 77.45 60.00
With the nearest neighbours (Å) after each atom.
Element x y z (fractional)
1 Se 0.5000 0.5000 0.5000  6 Pb 2.98
2 Pb 0.7577 0.7577 0.7270  3 Se 2.98, 3 In 3.25
3 Pb 0.2423 0.2423 0.2730  3 Se 2.98, 3 In 3.25
4 In 0.0000 0.0000 0.0000  6 Pb 3.25

=====

[2]
Material: InSi2Pb
Method: DFT, SCAN
State: PBEsol geometry

energy relative to the elements, uncorrected: 710 meV per atom
ΔE to the lowest computed polymorph: 16 meV per atom
density of states at the Fermi level: 0.404 states/eV/atom

Lattice parameters (Å, degrees): 4.5811 4.5811 5.2555 115.84 115.84 90.00
With the nearest neighbours (Å) after each atom.
Element x y z (fractional)
1 Si 0.0000 0.0000 0.0000  4 Pb 3.09, 4 Si 3.09, 4 In 3.24
2 Si 0.7500 0.2500 0.5000  4 In 3.09, 4 Si 3.09, 4 Pb 3.24
3 In 0.5000 0.5000 0.0000  4 Pb 3.09, 8 Si 3.09-3.24
4 Pb 0.2500 0.7500 0.5000  4 In 3.09, 8 Si 3.09-3.24

=====

[3]
Material: InSi2Pb
Method: DFT, SCAN
State: PBEsol geometry

energy relative to the elements, uncorrected: 694 meV per atom
ΔE to the lowest computed polymorph: 0 meV per atom
density of states at the Fermi level: 0.522 states/eV/atom

Lattice parameters (Å, degrees): 3.5357 4.9525 4.9525 97.33 90.00 90.00
With the nearest neighbours (Å) after each atom.
Element x y z (fractional)
1 Si 0.0000 0.0000 0.5000  4 Pb 3.04, 4 In 3.04, 2 Si 3.27
2 Si 0.0000 0.5000 0.0000  4 In 3.04, 4 Pb 3.04, 2 Si 3.27
3 In 0.5000 0.5000 0.5000  8 Si 3.04, 2 Pb 3.27
4 Pb 0.5000 0.0000 0.0000  8 Si 3.04, 2 In 3.27

=====

[4]
Material: In2SiPb
Method: DFT, SCAN
State: PBEsol geometry

energy relative to the elements, uncorrected: 413 meV per atom
ΔE to the lowest computed polymorph: 75 meV per atom
density of states at the Fermi level: 0.441 states/eV/atom

Lattice parameters (Å, degrees): 4.4185 4.8141 4.5279 90.00 90.00 90.00
With the nearest neighbours (Å) after each atom.
Element x y z (fractional)
1 Si 0.0000 0.5000 0.5000  8 In 3.16-3.30, 4 Pb 3.27
2 In 0.5000 0.5000 0.0000  4 Si 3.16, 4 In 3.27, 4 Pb 3.30
3 In 0.0000 0.0000 0.0000  4 Pb 3.16, 4 In 3.27, 4 Si 3.30
4 Pb 0.5000 0.0000 0.5000  8 In 3.16-3.30, 4 Si 3.27

=====

[5]
Material: InSi4Pb
Method: DFT, SCAN
State: PBEsol geometry

energy relative to the elements, uncorrected: 635 meV per atom
density of states at the Fermi level: 0.325 states/eV/atom

Lattice parameters (Å, degrees): 5.4265 5.4265 5.4265 60.00 60.00 60.00
With the nearest neighbours (Å) after each atom.
Element x y z (fractional)
1 Si 0.8672 0.3776 0.3776  6 Si 2.66-2.77
2 Si 0.3776 0.3776 0.8672  6 Si 2.66-2.77
3 Si 0.3776 0.3776 0.3776  6 Si 2.66-2.77
4 Si 0.3776 0.8672 0.3776  6 Si 2.66-2.77
5 In 0.7500 0.7500 0.7500  12 Si 3.18, 4 Pb 3.32
6 Pb 0.0000 0.0000 0.0000  12 Si 3.19, 4 In 3.32

=====

[6]
Material: In2SiPb
Method: DFT, SCAN
State: PBEsol geometry

energy relative to the elements, uncorrected: 434 meV per atom
ΔE to the lowest computed polymorph: 96 meV per atom
density of states at the Fermi level: 0.611 states/eV/atom

Lattice parameters (Å, degrees): 5.1492 5.1492 5.1492 60.00 60.00 60.00
With the nearest neighbours (Å) after each atom.
Element x y z (fractional)
1 In 0.7500 0.7500 0.7500  4 Pb 3.15, 4 Si 3.15
2 In 0.2500 0.2500 0.2500  4 Si 3.15, 4 Pb 3.15
3 Si 0.5000 0.5000 0.5000  8 In 3.15
4 Pb 0.0000 0.0000 0.0000  8 In 3.15

=====

[7]
Material: In2SiPb
Method: DFT, SCAN
State: PBEsol geometry

energy relative to the elements, uncorrected: 371 meV per atom
ΔE to the lowest computed polymorph: 33 meV per atom
density of states at the Fermi level: 0.467 states/eV/atom

Lattice parameters (Å, degrees): 3.3661 3.3661 10.1243 80.43 80.43 60.00
With the nearest neighbours (Å) after each atom.
Element x y z (fractional)
1 In 0.7450 0.7450 0.7648  9 In 3.22-3.37, 3 Pb 3.48
2 In 0.9920 0.9920 0.0239  3 Si 2.87
3 Pb 0.5085 0.5085 0.4744  3 Si 3.06, 6 Pb 3.37
4 Si 0.2544 0.2544 0.2369  3 In 2.87, 3 Pb 3.06

=====

[8]
Material: In2SiPb
Method: DFT, SCAN
State: PBEsol geometry

energy relative to the elements, uncorrected: 415 meV per atom
ΔE to the lowest computed polymorph: 77 meV per atom
density of states at the Fermi level: 0.516 states/eV/atom

Lattice parameters (Å, degrees): 4.4598 4.4598 5.7887 112.66 112.66 90.00
With the nearest neighbours (Å) after each atom.
Element x y z (fractional)
1 Si 0.2500 0.7500 0.5000  8 In 3.15-3.30, 4 Pb 3.30
2 In 0.0000 0.0000 0.0000  4 Pb 3.15, 4 In 3.30, 4 Si 3.30
3 In 0.7500 0.2500 0.5000  4 Si 3.15, 4 In 3.30, 4 Pb 3.30
4 Pb 0.5000 0.5000 0.0000  8 In 3.15-3.30, 4 Si 3.30

=====

[9]
Material: In2SiPb
Method: DFT, SCAN
State: PBEsol geometry

energy relative to the elements, uncorrected: 338 meV per atom
ΔE to the lowest computed polymorph: 0 meV per atom
density of states at the Fermi level: 0.524 states/eV/atom

Lattice parameters (Å, degrees): 3.5616 3.4962 7.6500 90.00 90.05 90.00
With the nearest neighbours (Å) after each atom.
Element x y z (fractional)
1 In 0.9997 0.0000 0.2925  4 Si 2.96, 1 In 3.18
2 In 0.0003 0.0000 0.7075  4 Si 2.96, 1 In 3.18
3 Si 0.5000 0.5000 0.5000  8 In 2.96
4 Pb 0.5000 0.5000 0.0000  8 In 3.35, 4 Pb 3.50-3.56

=====

[10]
Material: TiInSi2Pb
Method: DFT, SCAN
State: PBEsol geometry

energy relative to the elements, uncorrected: 1189 meV per atom
density of states at the Fermi level: 0.923 states/eV/atom

Lattice parameters (Å, degrees): 4.9348 4.9348 5.2206 90.00 90.00 90.00
With the nearest neighbours (Å) after each atom.
Element x y z (fractional)
1 Ti 0.0000 0.0000 0.5000  2 In 2.61
2 Pb 0.5000 0.5000 0.5000  4 Ti 3.49, 8 Si 3.59
3 Si 0.5000 0.0000 0.0000  2 In 2.47
4 Si 0.0000 0.5000 0.0000  2 In 2.47
5 In 0.0000 0.0000 0.0000  4 Si 2.47, 2 Ti 2.61

=====

[11]
Material: InSn2Pb
Method: DFT, SCAN
State: PBEsol geometry

formation energy from the elements: 0.15 eV per atom
density of states at the Fermi level: 0.567 states/eV/atom

Lattice parameters (Å, degrees): 5.3348 5.3348 5.3348 60.00 60.00 60.00
With the nearest neighbours (Å) after each atom.
Element x y z (fractional)
1 Sn 0.7500 0.7500 0.7500  4 In 3.27, 4 Pb 3.27
2 Sn 0.2500 0.2500 0.2500  4 In 3.27, 4 Pb 3.27
3 In 0.0000 0.0000 0.0000  8 Sn 3.27
4 Pb 0.5000 0.5000 0.5000  8 Sn 3.27

=====

[12]
Material: InSnPb3
Method: DFT, SCAN
State: PBEsol geometry

formation energy from the elements: 0.54 eV per atom
density of states at the Fermi level: 0.778 states/eV/atom

Lattice parameters (Å, degrees): 5.7372 5.7372 5.7372 90.00 90.00 90.00
With the nearest neighbours (Å) after each atom.
Element x y z (fractional)
1 Sn 0.0000 0.0000 0.0000  6 Pb 2.87
2 In 0.5000 0.5000 0.5000  12 Pb 4.06
3 Pb 0.0000 0.5000 0.0000  2 Sn 2.87
4 Pb 0.0000 0.0000 0.5000  2 Sn 2.87
5 Pb 0.5000 0.0000 0.0000  2 Sn 2.87

=====

> The highest density of states at the Fermi level belongs to which entry?

TiInSi2Pb

=====

> Which value of density of states at the Fermi level does entry 2 give?

0.404 states/eV/atom

=====

Copy entry 8 word for word.
Material: In2SiPb
Method: DFT, SCAN
State: PBEsol geometry

energy relative to the elements, uncorrected: 415 meV per atom
ΔE to the lowest computed polymorph: 77 meV per atom
density of states at the Fermi level: 0.516 states/eV/atom

Lattice parameters (Å, degrees): 4.4598 4.4598 5.7887 112.66 112.66 90.00
With the nearest neighbours (Å) after each atom.
Element x y z (fractional)
1 Si 0.2500 0.7500 0.5000  8 In 3.15-3.30, 4 Pb 3.30
2 In 0.0000 0.0000 0.0000  4 Pb 3.15, 4 In 3.30, 4 Si 3.30
3 In 0.7500 0.2500 0.5000  4 Si 3.15, 4 In 3.30, 4 Pb 3.30
4 Pb 0.5000 0.5000 0.0000  8 In 3.15-3.30, 4 Si 3.30

=====

> What is the density of states at the Fermi level in the twelfth record?

0.778 states/eV/atom